No. 1
First-principles (PBE-GGA) data for a geometry-optimized AlSeBr2 structure, as listed in the Alexandria database.

Results
Formation energy (no corrections) in eV per atom: 0.0493
Fermi-level density of states in states/eV per cell: 4.436
VASP energy in eV/cell: -20.75
Polymorph energy (0 for the lowest one) in kJ per mole of atoms: 64.3

Cell lengths 3.339, 6.349, 9.911 Å; angles 90.00, 90.00, 90.00 degrees
Fractional coordinates of all 8 atoms:
Al 0.000 0.000 0.000
Al 0.500 0.500 0.000
Se 0.000 0.000 0.500
Se 0.500 0.500 0.500
Br 0.000 0.500 0.186
Br 0.000 0.500 0.814
Br 0.500 0.000 0.186
Br 0.500 0.000 0.814


No. 2
First-principles (PBE-GGA) data for a geometry-optimized AlSeBr2 structure, as listed in the Alexandria database.

Results
Formation energy (no corrections) in eV per atom: 0.0576
Fermi-level density of states in states/eV per cell: 2.005
VASP energy in eV/cell: -10.34
Polymorph energy (0 for the lowest one) in kJ per mole of atoms: 65.1

Cell lengths 3.962, 4.059, 6.815 Å; angles 90.00, 90.67, 90.00 degrees
Fractional coordinates of all 4 atoms:
Al 0.000 0.000 0.000
Se 0.000 0.000 0.500
Br 0.500 0.500 0.000
Br 0.500 0.500 0.500